This record from the Alexandria database describes an optimized crystal structure of MnTlAu2. The functional is PBE.

Unit cell a=3.4011 b=3.4011 c=25.2722 alpha=90.00 beta=90.00 gamma=120.00
Space group R-3m (No. 166, hexagonal axes)
Inequivalent atoms, fractional coordinates:
Mn (0.0000, 0.0000, 0.0000) x3
Tl (0.0000, 0.0000, 0.5000) x3
Au (0.0000, 0.0000, 0.2610) x6

Results
Its density of states at the Fermi level is 5.9 states/eV/cell. Its size of the total moment is 1.105 μB/atom. The theoretical density comes out at 12.854 g cm⁻³. As for the calculated formation energy: 0.108 eV/atom. As for the energy relative to the lowest polymorph listed for this composition: 86 meV/atom.